[1]
Material: Fe2CoIr
Method: DFT, PBE
State: relaxed

Results
* crystal system: tetragonal
* energy relative to the elements: 0.022 eV/atom

Cell: 3.6299 3.6299 7.2755 Å, 90.00 90.00 90.00°
Space group I-4m2 (No. 119)
Asymmetric unit:
1 Fe 0.0000 0.0000 0.0000
2 Fe 0.0000 0.5000 0.2500
3 Co 0.0000 0.0000 0.5000
4 Ir 0.0000 0.5000 0.7500

[2]
Material: SrLi2Tl3
Method: DFT, PBE
State: relaxed

Results
* crystal system: orthorhombic
* energy relative to the elements: -0.255 eV/atom

Cell: 10.9732 9.3036 6.2077 Å, 90.00 90.00 90.00°
Space group Cmcm (No. 63)
Asymmetric unit:
1 Sr 0.0000 0.1553 0.2500
2 Li 0.2177 0.5000 0.0000
3 Tl 0.0000 0.4816 0.7500
4 Tl 0.1699 0.2147 0.7500

[3]
Material: Cs2CaNbW
Method: DFT, PBE
State: relaxed

Results
* crystal system: tetragonal
* energy relative to the elements: 2.944 eV/atom

Cell: 5.9324 5.9324 5.4087 Å, 90.00 90.00 90.00°
Space group P4/mmm (No. 123)
Asymmetric unit:
1 Cs 0.0000 0.5000 0.0000
2 Ca 0.0000 0.0000 0.0000
3 Nb 0.0000 0.0000 0.5000
4 W 0.5000 0.5000 0.5000

[4]
Material: LiMgMn2
Method: DFT, PBE
State: relaxed

Results
* crystal system: orthorhombic
* energy relative to the elements: 0.378 eV/atom

Cell: 3.1408 4.4788 9.1984 Å, 90.00 90.00 90.00°
Space group Immm (No. 71)
Asymmetric unit:
1 Li 0.0000 0.0000 0.0000
2 Mg 0.0000 0.0000 0.5000
3 Mn 0.0000 0.5000 0.2579

[5]
Material: LaPr2DyP4
Method: DFT, PBE
State: relaxed

Results
* crystal system: monoclinic
* energy relative to the elements: -1.540 eV/atom

Cell: 7.2277 4.1779 7.2278 Å, 90.00 109.42 90.00°
Space group P2/m (No. 10)
Asymmetric unit:
1 La 0.0000 0.0000 0.0000
2 Pr 0.5000 0.0000 0.5000
3 Pr 0.5000 0.5000 0.0000
4 Dy 0.0000 0.5000 0.5000
5 P 0.2430 0.0000 0.7417
6 P 0.2474 0.5000 0.2555

[6]
Material: Cd2ReAu
Method: DFT, PBE
State: relaxed

Results
* ΔE to the lowest computed polymorph: 73 meV per atom
* crystal system: orthorhombic
* energy relative to the elements: 0.399 eV/atom

Cell: 5.9763 8.6427 2.8031 Å, 90.00 90.00 90.00°
Space group Cmmm (No. 65)
Asymmetric unit:
1 Cd 0.2500 0.2500 0.0000
2 Re 0.0000 0.0000 0.5000
3 Au 0.0000 0.5000 0.5000

[7]
Material: BaSrPrCu3O7
Method: DFT, PBE
State: relaxed

Results
* crystal system: orthorhombic
* ΔE_f (raw): -1780 meV/atom

Cell: 3.8278 3.9447 11.8113 Å, 90.00 90.00 90.00°
Space group Pmm2 (No. 25)
Asymmetric unit:
1 Ba 0.0000 0.0000 0.0000
2 Sr 0.0000 0.0000 0.6453
3 Pr 0.0000 0.0000 0.3273
4 Cu 0.5000 0.5000 0.1702
5 Cu 0.5000 0.5000 0.4844
6 Cu 0.5000 0.5000 0.8196
7 O 0.0000 0.5000 0.1971
8 O 0.0000 0.5000 0.4572
9 O 0.5000 0.0000 0.1941
10 O 0.5000 0.0000 0.4618
11 O 0.5000 0.0000 0.8091
12 O 0.5000 0.5000 0.6620
13 O 0.5000 0.5000 0.9781

[8]
Material: LiPrErPb
Method: DFT, PBE
State: relaxed

Results
* crystal system: cubic
* energy relative to the elements: -0.279 eV/atom

Cell: 7.5975 7.5975 7.5975 Å, 90.00 90.00 90.00°
Space group F-43m (No. 216)
Asymmetric unit:
1 Li 0.0000 0.0000 0.0000
2 Pr 0.2500 0.2500 0.2500
3 Er 0.2500 0.2500 0.7500
4 Pb 0.0000 0.0000 0.5000

[9]
Material: CaFe4C4
Method: DFT, PBE
State: relaxed

Results
* crystal system: tetragonal
* energy relative to the elements: 0.115 eV/atom

Cell: 6.9565 6.9565 3.5864 Å, 90.00 90.00 90.00°
Space group P4_2/n (No. 86, origin choice 2)
Asymmetric unit:
1 Ca 0.2500 0.2500 0.2500
2 Fe 0.0955 0.6451 0.1236
3 C 0.0347 0.9158 0.1276

[10]
Material: Re2MoCl
Method: DFT, PBE
State: relaxed

Results
* ΔE to the lowest computed polymorph: 367 meV per atom
* crystal system: monoclinic
* ΔE_f (raw): 611 meV/atom

Cell: 2.8567 4.0740 5.5012 Å, 90.00 104.26 90.00°
Space group Pm (No. 6)
Asymmetric unit:
1 Re 0.0000 0.0000 0.0000
2 Re 0.4036 0.5000 0.8027
3 Mo 0.8155 0.0000 0.5104
4 Cl 0.7329 0.5000 0.2534

[11]
Material: TaTlCu2F8
Method: DFT, PBE
State: relaxed

Results
* crystal system: trigonal
* ΔE_f (raw): -2170 meV/atom

Cell: 4.9783 4.9783 25.5213 Å, 90.00 90.00 120.00°
Space group R32 (No. 155, hexagonal axes)
Asymmetric unit:
1 Ta 0.0000 0.0000 0.0000
2 Tl 0.0000 0.0000 0.5000
3 Cu 0.0000 0.0000 0.2240
4 F 0.0000 0.0000 0.1511
5 F 0.0089 0.3891 0.6192

[12]
Material: TlCuTe2
Method: DFT, PBE
State: relaxed

Results
* crystal system: monoclinic
* ΔE_f (raw): 183 meV/atom

Cell: 6.0281 8.7383 4.7726 Å, 90.00 116.55 90.00°
Space group C2/m (No. 12)
Asymmetric unit:
1 Tl 0.0000 0.0000 0.0000
2 Cu 0.0000 0.5000 0.0000
3 Te 0.2500 0.2500 0.5000

The records above yield total energy values of -8.20; -2.36; -2.40; -5.08; -6.63; -3.99; -6.04; -4.02; -7.97; -8.78; -5.28; -3.00 eV/atom, respectively.